(1)
Computed, not measured: crystalline Li3Cu4Ni2 at its relaxed geometry at the PBE level of DFT.

Cell lengths 3.7248, 5.6808, 5.6003 Å; angles 106.70, 109.42, 90.00 degrees
Closest atoms and distances in Å follow each position.
Fractional positions:
Li (0.1132, 0.6686, 0.2264)  3 Ni 2.45-2.61, 2 Li 2.52-2.57, 7 Cu 2.53-2.63
Li (0.0000, 0.0000, 0.0000)  2 Li 2.52, 6 Cu 2.53-2.57, 4 Ni 2.59
Li (0.8868, 0.3314, 0.7736)  3 Ni 2.45-2.61, 2 Li 2.52-2.57, 7 Cu 2.53-2.63
Cu (0.5566, 0.3264, 0.1132)  2 Ni 2.48-2.58, 4 Cu 2.54-2.60, 6 Li 2.57-2.63
Cu (0.4434, 0.6736, 0.8868)  2 Ni 2.48-2.58, 4 Cu 2.54-2.60, 6 Li 2.57-2.63
Cu (0.7763, 0.6716, 0.5526)  3 Ni 2.47-2.55, 4 Li 2.53-2.54, 5 Cu 2.54-2.63
Cu (0.2237, 0.3284, 0.4474)  3 Ni 2.47-2.55, 4 Li 2.53-2.54, 5 Cu 2.54-2.63
Ni (0.3279, 0.9930, 0.6559)  5 Li 2.45-2.61, 5 Cu 2.47-2.58, 2 Ni 2.50
Ni (0.6721, 0.0070, 0.3441)  5 Li 2.45-2.61, 5 Cu 2.47-2.58, 2 Ni 2.50

Summary:
Spin magnetization (Bohr magnetons per cell): 0.000
Calculated density (g cm⁻³): 6.12
Space group: No. 12
DOS(E_F) (states/eV per cell): 4.2
Formation energy (meV per atom): -11.3

(2)
Computed, not measured: crystalline LiCu5Ni at its relaxed geometry at the PBE level of DFT.

Cell lengths 4.3753, 4.3753, 4.9674 Å; angles 90.00, 90.00, 108.85 degrees
Closest atoms and distances in Å follow each position.
Fractional positions:
Cu (0.5000, 0.9999, 0.2430)  6 Cu 2.41-2.55, 2 Ni 2.50, 2 Li 2.53
Cu (0.9999, 0.5000, 0.2430)  6 Cu 2.41-2.55, 2 Ni 2.50, 2 Li 2.53
Cu (0.5000, 0.0001, 0.7570)  6 Cu 2.41-2.55, 2 Ni 2.50, 2 Li 2.53
Cu (0.0001, 0.5000, 0.7570)  6 Cu 2.41-2.55, 2 Ni 2.50, 2 Li 2.53
Cu (0.0000, 0.0000, 0.5000)  2 Ni 2.48, 8 Cu 2.53, 2 Li 2.55
Li (0.5000, 0.5000, 0.5000)  10 Cu 2.53-2.55
Ni (0.0000, 0.0000, 0.0000)  10 Cu 2.48-2.50

Summary:
Spin magnetization (Bohr magnetons per cell): 0.000
Calculated density (g cm⁻³): 7.07
Space group: No. 65
DOS(E_F) (states/eV per cell): 2.2
Formation energy (meV per atom): 87.8

(3)
Computed, not measured: crystalline Li3Cu4Ni2 at its relaxed geometry at the PBE level of DFT.

Cell lengths 4.9145, 7.1080, 7.4800 Å; angles 61.27, 69.05, 88.16 degrees
Closest atoms and distances in Å follow each position.
Fractional positions:
Ni (0.7292, 0.5061, 0.8332)  3 Li 2.41-2.49, 5 Cu 2.46-2.68, 2 Ni 2.51-2.66
Ni (0.8981, 0.1670, 0.4890)  5 Cu 2.45-2.74, 3 Li 2.45-2.48, 2 Ni 2.50-2.51
Ni (0.2708, 0.4939, 0.1668)  3 Li 2.41-2.49, 5 Cu 2.46-2.68, 2 Ni 2.51-2.66
Ni (0.1019, 0.8330, 0.5110)  5 Cu 2.45-2.74, 3 Li 2.45-2.48, 2 Ni 2.50-2.51
Li (0.7506, 0.4973, 0.5038)  2 Li 2.43-2.48, 4 Cu 2.43-2.49, 2 Ni 2.46-2.48
Li (0.0972, 0.8349, 0.8387)  5 Cu 2.45-2.49, 2 Li 2.45-2.47, 1 Ni 2.45
Li (0.5996, 0.8344, 0.8378)  3 Ni 2.41-2.49, 2 Li 2.45-2.47, 3 Cu 2.46
Li (0.9028, 0.1651, 0.1613)  5 Cu 2.45-2.49, 2 Li 2.45-2.47, 1 Ni 2.45
Li (0.4004, 0.1656, 0.1622)  3 Ni 2.41-2.49, 2 Li 2.45-2.47, 3 Cu 2.46
Li (0.2494, 0.5027, 0.4962)  2 Li 2.43-2.48, 4 Cu 2.43-2.49, 2 Ni 2.46-2.48
Cu (0.9259, 0.1739, 0.8223)  3 Li 2.43-2.49, 3 Cu 2.44-2.58, 2 Ni 2.55-2.57
Cu (0.0741, 0.8261, 0.1777)  3 Li 2.43-2.49, 3 Cu 2.44-2.58, 2 Ni 2.55-2.57
Cu (0.6060, 0.8324, 0.5081)  4 Ni 2.45-2.74, 3 Li 2.46-2.48, 4 Cu 2.54-2.73
Cu (0.2289, 0.5019, 0.8341)  3 Li 2.45-2.49, 4 Ni 2.46-2.70, 3 Cu 2.54-2.68
Cu (0.4264, 0.1666, 0.8267)  3 Li 2.43-2.46, 5 Cu 2.44-2.58
Cu (0.7711, 0.4981, 0.1659)  3 Li 2.45-2.49, 4 Ni 2.46-2.70, 3 Cu 2.54-2.68
Cu (0.5736, 0.8334, 0.1733)  3 Li 2.43-2.46, 5 Cu 2.44-2.58
Cu (0.3940, 0.1676, 0.4919)  4 Ni 2.45-2.74, 3 Li 2.46-2.48, 4 Cu 2.54-2.73

Summary:
Spin magnetization (Bohr magnetons per cell): 0.000
Calculated density (g cm⁻³): 6.18
Space group: No. 2
DOS(E_F) (states/eV per cell): 10.4
Formation energy (meV per atom): -17.8

(4)
Computed, not measured: crystalline Li3CuNi at its relaxed geometry at the PBE level of DFT.

Cell lengths 4.1549, 4.9724, 6.4963 Å; angles 76.99, 90.00, 90.00 degrees
Closest atoms and distances in Å follow each position.
Fractional positions:
Li (0.6240, 0.9911, 0.1739)  4 Li 2.47-2.58, 2 Ni 2.62, 1 Cu 2.66
Li (0.6246, 0.7972, 0.5719)  1 Ni 2.43, 1 Cu 2.50, 6 Li 2.55-2.63
Li (0.6247, 0.6110, 0.9850)  4 Li 2.47-2.63, 1 Ni 2.51, 2 Cu 2.55
Li (0.1240, 0.1074, 0.4734)  4 Li 2.47-2.58, 2 Ni 2.62, 1 Cu 2.66
Li (0.1247, 0.4875, 0.6623)  4 Li 2.47-2.63, 1 Ni 2.51, 2 Cu 2.55
Li (0.1246, 0.3012, 0.0753)  1 Ni 2.43, 1 Cu 2.50, 6 Li 2.55-2.63
Cu (0.1250, 0.9116, 0.8893)  1 Ni 2.49, 4 Li 2.50-2.66, 2 Cu 2.53
Cu (0.6250, 0.1869, 0.7579)  1 Ni 2.49, 4 Li 2.50-2.66, 2 Cu 2.53
Ni (0.1235, 0.6661, 0.2683)  2 Ni 2.41, 4 Li 2.43-2.62, 1 Cu 2.49
Ni (0.6235, 0.4324, 0.3790)  2 Ni 2.41, 4 Li 2.43-2.62, 1 Cu 2.49

Summary:
Spin magnetization (Bohr magnetons per cell): 0.000
Calculated density (g cm⁻³): 3.63
Space group: No. 4
DOS(E_F) (states/eV per cell): 3.9
Formation energy (meV per atom): -0.9

(5)
Computed, not measured: crystalline LiCu8Ni6 at its relaxed geometry at the PBE level of DFT.

Cell lengths 5.7856, 5.7856, 5.7856 Å; angles 73.93, 73.93, 73.93 degrees
Closest atoms and distances in Å follow each position.
Fractional positions:
Cu (0.1415, 0.6304, 0.9513)  1 Li 2.14, 1 Cu 2.38
Cu (0.6304, 0.9513, 0.1415)  1 Li 2.14, 1 Cu 2.38
Cu (0.7553, 0.7553, 0.7553)  6 Cu 2.44-2.62, 6 Ni 2.56-2.72
Cu (0.9513, 0.1415, 0.6304)  1 Li 2.14, 1 Cu 2.38
Cu (0.3696, 0.0487, 0.8585)  1 Li 2.14, 1 Cu 2.38
Cu (0.8585, 0.3696, 0.0487)  1 Li 2.14, 1 Cu 2.38
Cu (0.2447, 0.2447, 0.2447)  6 Cu 2.44-2.62, 6 Ni 2.56-2.72
Cu (0.0487, 0.8585, 0.3696)  1 Li 2.14, 1 Cu 2.38
Li (0.0000, 0.0000, 0.0000)  6 Cu 2.14
Ni (0.3955, 0.8117, 0.5530)  6 Cu 2.43-2.72, 5 Ni 2.53-2.63
Ni (0.6045, 0.1883, 0.4470)  6 Cu 2.43-2.72, 5 Ni 2.53-2.63
Ni (0.1883, 0.4470, 0.6045)  6 Cu 2.43-2.72, 5 Ni 2.53-2.63
Ni (0.4470, 0.6045, 0.1883)  6 Cu 2.43-2.72, 5 Ni 2.53-2.63
Ni (0.8117, 0.5530, 0.3955)  6 Cu 2.43-2.72, 5 Ni 2.53-2.63
Ni (0.5530, 0.3955, 0.8117)  6 Cu 2.43-2.72, 5 Ni 2.53-2.63

Summary:
Spin magnetization (Bohr magnetons per cell): 0.454
Calculated density (g cm⁻³): 8.25
Space group: No. 148
DOS(E_F) (states/eV per cell): 16.7
Formation energy (meV per atom): 184.5

(6)
Computed, not measured: crystalline Li2Cu4Ni3 at its relaxed geometry at the PBE level of DFT.

Cell lengths 4.6792, 4.6792, 6.4482 Å; angles 99.88, 99.88, 121.81 degrees
Closest atoms and distances in Å follow each position.
Fractional positions:
Cu (0.6678, 0.9854, 0.6532)  2 Cu 2.37-2.60, 3 Ni 2.46-2.50
Cu (0.9854, 0.6678, 0.6532)  2 Cu 2.37-2.60, 3 Ni 2.46-2.50
Cu (0.3322, 0.0146, 0.3468)  2 Cu 2.37-2.60, 3 Ni 2.46-2.50
Cu (0.0146, 0.3322, 0.3468)  2 Cu 2.37-2.60, 3 Ni 2.46-2.50
Li (0.6202, 0.6202, 0.2405)  8 Cu 2.70-2.86, 6 Ni 2.70-2.75, 1 Li 2.90
Li (0.3798, 0.3798, 0.7595)  8 Cu 2.70-2.86, 6 Ni 2.70-2.75, 1 Li 2.90
Ni (0.0000, 0.5000, 0.0000)  4 Ni 2.28-2.34, 4 Cu 2.50
Ni (0.0000, 0.0000, 0.0000)  4 Ni 2.34, 4 Cu 2.46
Ni (0.5000, 0.0000, 0.0000)  4 Ni 2.28-2.34, 4 Cu 2.50

Summary:
Spin magnetization (Bohr magnetons per cell): 0.000
Calculated density (g cm⁻³): 6.57
Space group: No. 69
DOS(E_F) (states/eV per cell): 3.7
Formation energy (meV per atom): 1.8

- Which value of DOS(E_F) does entry 6 give?
  3.7 states/eV per cell

- What is the DOS(E_F) in the fifth record?
  16.7 states/eV per cell

- calculated density of number 1 (Li3Cu4Ni2)?
  6.12 g cm⁻³

- Number 4 is which compound?
  Li3CuNi